Density functional theory data (PBE with a Hubbard U) for an optimized crystal structure of CrCoNF2.

Computed properties:
Relative energy among the computed polymorphs = 0.066 eV/atom
Space group = P4/mmm, No. 123
Total moment = 7.3 μB/f.u.

Cell lengths 3.9730, 3.9730, 3.7442 Å; angles 90.00, 90.00, 90.00 degrees
With the nearest neighbours (Å) after each atom.
Fractional positions:
1 Cr 0.5000 0.5000 0.5000  8 F 2.73, 4 N 2.81
2 N 0.0000 0.0000 0.5000  2 Co 1.87
3 Co 0.0000 0.0000 0.0000  2 N 1.87, 4 F 1.99
4 F 0.0000 0.5000 0.0000  2 Co 1.99
5 F 0.5000 0.0000 0.0000  2 Co 1.99